Compound: Pm2CdPt
Source: the Alexandria database
Functional: GGA-PBE
Structure: relaxed

Geometry as POSCAR:
```
Pm2CdPt
1.0
-1.8841 -1.6642 -4.5787
-0.5537 -5.1168 -0.8918
-4.7735 -2.1060 -0.2497
Cd Pt Pm
1 1 2
direct
0.0000 0.0000 0.0000 Cd
0.5000 0.5000 0.5000 Pt
0.2500 0.2500 0.2500 Pm
0.7500 0.7500 0.7500 Pm
```

## Properties
- Offset from the most stable computed form: 67 meV/atom



Compound: Pm2CdPt
Source: the Alexandria database
Functional: GGA-PBE
Structure: relaxed

Geometry as POSCAR:
```
Pm2CdPt
1.0
3.6932 0.0000 0.0000
0.0000 7.3349 0.0000
0.0000 0.0000 7.5362
Pm Cd Pt
4 2 2
direct
0.5000 0.9934 0.2244 Pm
0.5000 0.0066 0.7756 Pm
0.5000 0.4934 0.7756 Pm
0.5000 0.5066 0.2244 Pm
0.0000 0.2500 0.4858 Cd
0.0000 0.7500 0.5142 Cd
0.0000 0.2500 0.0328 Pt
0.0000 0.7500 0.9672 Pt
```

## Properties
- Offset from the most stable computed form: 0 meV/atom



Compound: Pm3Cd2Pt4
Source: the Alexandria database
Functional: GGA-PBE
Structure: relaxed

Geometry as POSCAR:
```
Pm3Cd2Pt4
1.0
4.1836 0.0000 0.0000
-2.0918 5.5040 -2.7527
0.0000 -0.4232 9.2145
Pm Cd Pt
3 2 4
direct
0.6352 0.2705 0.7034 Pm
0.0000 0.0000 0.0000 Pm
0.3648 0.7295 0.2966 Pm
0.6699 0.3398 0.3364 Cd
0.3301 0.6602 0.6636 Cd
0.7013 0.4025 0.0581 Pt
0.2987 0.5975 0.9419 Pt
0.9359 0.8718 0.5860 Pt
0.0641 0.1282 0.4140 Pt
```

## Properties
- Offset from the most stable computed form: 0 meV/atom



Compound: Pm3CdPt
Source: the Alexandria database
Functional: GGA-PBE
Structure: relaxed

Geometry as POSCAR:
```
Pm3CdPt
1.0
6.8298 0.0000 0.0000
0.0000 9.7435 -0.6110
0.0000 -4.3450 8.6740
Pm Cd Pt
12 4 4
direct
0.0001 0.7020 0.9041 Pm
0.9999 0.2980 0.0959 Pm
0.5001 0.7979 0.0959 Pm
0.4999 0.2021 0.9041 Pm
0.5001 0.4184 0.7131 Pm
0.4999 0.5816 0.2869 Pm
0.0001 0.0816 0.2869 Pm
0.9999 0.9184 0.7131 Pm
0.0001 0.2947 0.7128 Pm
0.9999 0.7053 0.2872 Pm
0.5001 0.2053 0.2872 Pm
0.4999 0.7947 0.7128 Pm
0.7982 0.5001 0.5000 Cd
0.2018 0.4999 0.5000 Cd
0.2982 0.9999 0.5000 Cd
0.7018 0.0001 0.5000 Cd
0.2497 0.5000 0.0000 Pt
0.7503 0.5000 0.0000 Pt
0.7498 0.0000 0.0000 Pt
0.2502 0.0000 0.0000 Pt
```



Compound: Pm12CdPt6
Source: the Alexandria database
Functional: GGA-PBE
Structure: relaxed

Geometry as POSCAR:
```
Pm12CdPt6
1.0
8.3853 0.0000 -2.9647
-4.1927 7.2619 -2.9647
0.0000 0.0000 8.8940
Pm Cd Pt
12 1 6
direct
0.3022 0.1221 0.8198 Pm
0.3022 0.4824 0.1802 Pm
0.6978 0.5176 0.8198 Pm
0.6978 0.8779 0.1802 Pm
0.1221 0.8198 0.3022 Pm
0.4824 0.1802 0.3022 Pm
0.5176 0.8198 0.6978 Pm
0.8779 0.1802 0.6978 Pm
0.8198 0.3022 0.1221 Pm
0.1802 0.3022 0.4824 Pm
0.8198 0.6978 0.5176 Pm
0.1802 0.6978 0.8779 Pm
0.0000 0.0000 0.0000 Cd
0.3645 0.5000 0.8645 Pt
0.6355 0.5000 0.1355 Pt
0.5000 0.8645 0.3645 Pt
0.5000 0.1355 0.6355 Pt
0.8645 0.3645 0.5000 Pt
0.1355 0.6355 0.5000 Pt
```

## Properties
- Offset from the most stable computed form: 0 meV/atom



Compound: Pm7Cd2Pt2
Source: the Alexandria database
Functional: GGA-PBE
Structure: relaxed

Geometry as POSCAR:
```
Pm7Cd2Pt2
1.0
-2.5690 -4.0696 -5.0870
2.7240 -5.9190 3.3609
-4.9397 0.5279 4.9355
Pm Cd Pt
7 2 2
direct
0.9998 0.2554 0.5003 Pm
0.5003 0.7446 0.9998 Pm
0.0002 0.7446 0.4997 Pm
0.4997 0.2554 0.0002 Pm
0.0000 0.0000 0.0000 Pm
0.5002 0.7504 0.4998 Pm
0.4998 0.2496 0.5002 Pm
0.8287 0.5000 0.8287 Cd
0.1713 0.5000 0.1713 Cd
0.7115 0.0000 0.2885 Pt
0.2885 0.0000 0.7115 Pt
```



Compound: PmCdPt3
Source: the Alexandria database
Functional: GGA-PBE
Structure: relaxed

Geometry as POSCAR:
```
PmCdPt3
1.0
-2.7548 1.4326 4.6961
5.2586 -1.6649 3.5926
-0.6348 6.1536 -2.2497
Pm Cd Pt
2 2 6
direct
0.2500 0.3335 0.6665 Pm
0.7500 0.6665 0.3335 Pm
0.0000 0.0000 0.0000 Cd
0.5000 0.0000 0.0000 Cd
0.2500 0.7990 0.2010 Pt
0.7500 0.2010 0.7990 Pt
0.2500 0.7990 0.5982 Pt
0.7500 0.2010 0.4018 Pt
0.2500 0.4018 0.2010 Pt
0.7500 0.5982 0.7990 Pt
```



Compound: PmCd5Pt3
Source: the Alexandria database
Functional: GGA-PBE
Structure: relaxed

Geometry as POSCAR:
```
PmCd5Pt3
1.0
-0.1469 2.8270 2.4407
4.4989 -5.1453 3.3684
11.2988 5.8721 -6.1212
Pm Cd Pt
2 10 6
direct
0.8361 0.6722 0.7500 Pm
0.1639 0.3278 0.2500 Pm
0.8044 0.6089 0.4440 Cd
0.1956 0.3911 0.9440 Cd
0.0000 0.0000 0.5000 Cd
0.0000 0.0000 0.0000 Cd
0.4421 0.8843 0.1514 Cd
0.5579 0.1157 0.8486 Cd
0.5579 0.1157 0.6514 Cd
0.8044 0.6089 0.0560 Cd
0.1956 0.3911 0.5560 Cd
0.4421 0.8843 0.3486 Cd
0.3801 0.7603 0.9145 Pt
0.8273 0.6545 0.2500 Pt
0.3801 0.7603 0.5855 Pt
0.6199 0.2397 0.4145 Pt
0.1727 0.3455 0.7500 Pt
0.6199 0.2397 0.0855 Pt
```



Compound: Pm2CdPt3
Source: the Alexandria database
Functional: GGA-PBE
Structure: relaxed

Geometry as POSCAR:
```
Pm2CdPt3
1.0
-3.4691 -1.7175 -0.8145
3.6041 -5.6803 -3.3724
0.6893 -8.6570 15.3181
Pm Cd Pt
8 4 12
direct
0.2500 0.6516 0.5701 Pm
0.7500 0.8484 0.0701 Pm
0.2500 0.1516 0.9299 Pm
0.7500 0.3484 0.4299 Pm
0.2500 0.5971 0.7860 Pm
0.7500 0.9029 0.2860 Pm
0.2500 0.0971 0.7140 Pm
0.7500 0.4029 0.2140 Pm
0.2500 0.9885 0.4373 Cd
0.7500 0.5115 0.9373 Cd
0.2500 0.4885 0.0627 Cd
0.7500 0.0115 0.5627 Cd
0.2500 0.7689 0.9441 Pt
0.7500 0.7311 0.4441 Pt
0.2500 0.2689 0.5559 Pt
0.7500 0.2311 0.0559 Pt
0.2500 0.0875 0.1580 Pt
0.7500 0.4125 0.6580 Pt
0.2500 0.5875 0.3420 Pt
0.7500 0.9125 0.8420 Pt
0.2500 0.7089 0.1888 Pt
0.7500 0.7911 0.6888 Pt
0.2500 0.2089 0.3112 Pt
0.7500 0.2911 0.8112 Pt
```

## Properties
- Offset from the most stable computed form: 0 meV/atom



Compound: Pm2Cd5Pt4
Source: the Alexandria database
Functional: GGA-PBE
Structure: relaxed

Geometry as POSCAR:
```
Pm2Cd5Pt4
1.0
-3.3935 -1.4007 -4.2357
1.9699 -5.9600 -3.3162
-5.8170 -4.6201 2.4793
Pm Cd Pt
2 5 4
direct
0.8323 0.0000 0.3354 Pm
0.1677 0.0000 0.6646 Pm
0.5000 0.0000 0.0000 Cd
0.0000 0.5000 0.0000 Cd
0.5000 0.5000 0.0000 Cd
0.2500 0.5000 0.5000 Cd
0.7500 0.5000 0.5000 Cd
0.5465 0.2142 0.6928 Pt
0.4535 0.7858 0.3072 Pt
0.2393 0.2142 0.3072 Pt
0.7607 0.7858 0.6928 Pt
```



Compound: PmCd4Pt4
Source: the Alexandria database
Functional: GGA-PBE
Structure: relaxed

Geometry as POSCAR:
```
PmCd4Pt4
1.0
-4.0975 -5.2425 2.1174
-1.3262 -1.6508 -6.6537
6.4411 -5.0471 -0.0316
Pm Cd Pt
2 8 8
direct
0.0000 0.0000 0.0000 Pm
0.5000 0.5000 0.5000 Pm
0.2618 0.5000 0.8896 Cd
0.7382 0.5000 0.8896 Cd
0.5000 0.7382 0.1104 Cd
0.5000 0.2618 0.1104 Cd
0.0000 0.7618 0.3896 Cd
0.0000 0.2382 0.3896 Cd
0.2382 0.0000 0.6104 Cd
0.7618 0.0000 0.6104 Cd
0.5000 0.7878 0.7689 Pt
0.5000 0.2122 0.7689 Pt
0.7878 0.5000 0.2311 Pt
0.2122 0.5000 0.2311 Pt
0.2878 0.0000 0.2689 Pt
0.7122 0.0000 0.2689 Pt
0.0000 0.2878 0.7311 Pt
0.0000 0.7122 0.7311 Pt
```



Compound: Pm2Cd3Pt4
Source: the Alexandria database
Functional: GGA-PBE
Structure: relaxed

Geometry as POSCAR:
```
Pm2Cd3Pt4
1.0
-4.1482 -0.4103 -3.9975
1.5481 -7.3038 -0.8568
-3.7529 -1.7629 8.2475
Pm Cd Pt
4 6 8
direct
0.1026 0.5892 0.2053 Pm
0.8974 0.4108 0.7947 Pm
0.3974 0.0892 0.7947 Pm
0.6026 0.9108 0.2053 Pm
0.0000 0.0000 0.0000 Cd
0.5000 0.5000 0.0000 Cd
0.5119 0.7500 0.5238 Cd
0.9881 0.2500 0.4762 Cd
0.4881 0.2500 0.4762 Cd
0.0119 0.7500 0.5238 Cd
0.6739 0.7500 0.8478 Pt
0.8261 0.2500 0.1522 Pt
0.3261 0.2500 0.1522 Pt
0.1739 0.7500 0.8478 Pt
0.1593 0.9721 0.3186 Pt
0.8407 0.0279 0.6814 Pt
0.3407 0.4721 0.6814 Pt
0.6593 0.5279 0.3186 Pt
```

## Properties
- Offset from the most stable computed form: 14 meV/atom



Taking the records one at a time from the top gives formation energy values of -0.644, -0.712, -0.870, -0.572, -0.745, -0.441, -0.518, -0.375, -0.928, -0.461, -0.295, -0.695 eV per atom.
Taking the records one at a time from the top gives N(E_F) values of 3.35, 2.98, 5.06, 4.18, 18.95, 11.03, 2.33, 4.07, 2.35, 3.96, 3.79, 5.07 states/eV/f.u..